{"formula": "YW3", "functional": "GGA-PBE", "state": "relaxed", "polymorph_energy_ev_per_atom": 0.360, "dft_energy_ev_per_cell": -169.34, "cell": [[6.374, 0.000, 0.000], [3.187, 5.520, 0.000], [0.000, 0.000, 8.955]], "species": ["Y", "Y", "Y", "Y", "W", "W", "W", "W", "W", "W", "W", "W", "W", "W", "W", "W"], "fractional_positions": [[0.000, 0.000, 0.000], [0.000, 0.000, 0.500], [0.667, 0.667, 0.250], [0.333, 0.333, 0.750], [0.500, 0.500, 0.000], [0.500, 0.500, 0.500], [0.802, 0.395, 0.750], [0.395, 0.802, 0.750], [0.198, 0.198, 0.250], [0.500, 0.000, 0.000], [0.500, 0.000, 0.500], [0.000, 0.500, 0.000], [0.000, 0.500, 0.500], [0.802, 0.802, 0.750], [0.605, 0.198, 0.250], [0.198, 0.605, 0.250]]}

{"formula": "In2Hg13", "functional": "GGA-PBE", "state": "relaxed", "polymorph_energy_ev_per_atom": 0.054, "dft_energy_ev_per_cell": -8.13, "cell": [[7.923, -0.894, -0.664], [2.407, 7.601, -0.664], [2.407, 1.563, 7.469]], "species": ["In", "In", "Hg", "Hg", "Hg", "Hg", "Hg", "Hg", "Hg", "Hg", "Hg", "Hg", "Hg", "Hg", "Hg"], "fractional_positions": [[0.264, 0.264, 0.264], [0.736, 0.736, 0.736], [0.500, 0.500, 0.500], [0.255, 0.659, 0.255], [0.255, 0.255, 0.659], [0.659, 0.255, 0.255], [0.341, 0.745, 0.745], [0.745, 0.341, 0.745], [0.745, 0.745, 0.341], [0.003, 0.683, 0.003], [0.003, 0.003, 0.683], [0.683, 0.003, 0.003], [0.317, 0.997, 0.997], [0.997, 0.317, 0.997], [0.997, 0.997, 0.317]]}

{"formula": "K2CaAlGe2", "functional": "GGA-PBE", "state": "relaxed", "dft_energy_ev_per_cell": -36.78, "cell": [[4.539, 0.000, 0.000], [0.000, 7.719, 0.000], [0.000, 0.000, 9.666]], "species": ["K", "K", "K", "K", "Ca", "Ca", "Al", "Al", "Ge", "Ge", "Ge", "Ge"], "fractional_positions": [[0.500, 0.008, 0.093], [0.000, 0.337, 0.161], [0.500, 0.508, 0.907], [0.000, 0.837, 0.839], [0.000, 0.006, 0.455], [0.000, 0.506, 0.545], [0.500, 0.156, 0.657], [0.500, 0.656, 0.343], [0.000, 0.242, 0.786], [0.500, 0.297, 0.405], [0.000, 0.742, 0.214], [0.500, 0.797, 0.595]]}